1.
The following is a PBE calculation of a relaxed PrPu2Si crystal, from the Alexandria database.

Properties
* formation energy (no corrections): -171 meV per atom
* E above lowest polymorph: 0 meV/atom
* calculated total energy: -39.55 eV per cell

abc: 4.465 4.465 4.905
angles: 90.00 90.00 90.00
Space group P4/mmm (No. 123)
One atom of each set of equivalent atoms:
1 Pr 0.000 0.000 0.000 [1 per cell]
2 Pu 0.000 0.500 0.500 [2 per cell]
3 Si 0.500 0.500 0.000 [1 per cell]

2.
The following is a PBE calculation of a relaxed MgCo2N2 crystal, from the Alexandria database.

Properties
* formation energy (no corrections): 137 meV per atom
* E above lowest polymorph: 87 meV/atom
* calculated total energy: -31.77 eV per cell

abc: 3.457 3.457 5.076
angles: 90.00 90.00 90.00
Space group P-4m2 (No. 115)
One atom of each set of equivalent atoms:
1 Mg 0.000 0.000 0.000 [1 per cell]
2 Co 0.500 0.500 0.261 [2 per cell]
3 N 0.000 0.500 0.737 [2 per cell]